First-principles (PBE) data for PaCI after structural relaxation, as listed in Alexandria.

Cell and atoms, written as POSCAR:
```
PaCI
1.0
3.521 0.000 0.000
0.000 3.521 0.000
0.000 0.000 23.238
Pa C I
4 4 4
direct
0.000 0.000 0.189
0.000 0.000 0.811
0.500 0.500 0.311
0.500 0.500 0.689
0.000 0.000 0.287
0.000 0.000 0.713
0.500 0.500 0.213
0.500 0.500 0.787
0.000 0.000 0.415
0.000 0.000 0.585
0.500 0.500 0.085
0.500 0.500 0.915
```

- Space-group type: I4/mmm
- Formation energy from raw total energies: -0.313 eV per atom